Entry 1:
Entry from the Alexandria database: a geometry-optimized AgPtI2 structure (PBE-GGA).

Computed properties:
- raw formation energy (eV/atom) = -0.060
- symmetry = P1, No. 1
- M_tot (μB/f.u.) = 0.00
- ΔE to the lowest computed polymorph (kcal/mol of atoms) = 0.10

Cell: 4.6017 7.0534 8.5991 Å, 83.68 77.98 87.88°
Closest atoms and distances in Å follow each position.
Fractional positions:
1 Ag 0.0000 0.0000 0.0000  2 Pt 2.80-2.93, 2 I 2.83-3.14
2 Ag 0.0779 0.5943 0.8347  4 Pt 2.81-2.90, 1 I 2.96
3 Pt 0.5076 0.4478 0.0075  3 I 2.58-2.65, 1 Pt 2.75, 1 Ag 2.81
4 Pt 0.5414 0.8225 0.8764  3 I 2.62-2.78, 1 Pt 2.75, 4 Ag 2.80-2.93
5 I 0.3923 0.7239 0.1850  2 Pt 2.58-2.62
6 I 0.5551 0.2128 0.7848  2 Pt 2.64-2.78
7 I 0.6369 0.1983 0.2385  1 Pt 2.65, 1 Ag 2.83
8 I 0.7674 0.7567 0.5809  1 Pt 2.62

Entry 2:
Entry from the Alexandria database: a geometry-optimized AgPt2I structure (PBE-GGA).

Computed properties:
- raw formation energy (eV/atom) = 0.430
- symmetry = I-42d, No. 122
- Fermi-level density of states (states/eV per cell) = 4.65
- M_tot (μB/f.u.) = 0.00
- ΔE to the lowest computed polymorph (kcal/mol of atoms) = 0.00

Cell: 10.1487 10.1487 10.1487 Å, 156.86 156.86 32.95°
Closest atoms and distances in Å follow each position.
Fractional positions:
1 Ag 0.0000 0.0000 0.0000  4 Pt 2.82, 4 I 2.88
2 Ag 0.7500 0.2500 0.5000  4 Pt 2.82, 4 I 2.88
3 Pt 0.1211 0.6250 0.9961  2 Ag 2.82, 2 I 2.83, 4 Pt 2.86-2.90
4 Pt 0.3750 0.3711 0.4961  2 Ag 2.82, 2 I 2.83, 4 Pt 2.86-2.90
5 Pt 0.6289 0.1250 0.0039  2 Ag 2.82, 2 I 2.83, 4 Pt 2.86-2.90
6 Pt 0.8750 0.8789 0.5039  2 Ag 2.82, 2 I 2.83, 4 Pt 2.86-2.90
7 I 0.2500 0.7500 0.5000  4 Pt 2.83, 4 Ag 2.88
8 I 0.5000 0.5000 0.0000  4 Pt 2.83, 4 Ag 2.88

Entry 3:
Entry from the Alexandria database: a geometry-optimized AgPtI2 structure (PBE-GGA).

Computed properties:
- raw formation energy (eV/atom) = -0.009
- symmetry = P1, No. 1
- Fermi-level density of states (states/eV per cell) = 1.74
- M_tot (μB/f.u.) = 0.00
- ΔE to the lowest computed polymorph (kcal/mol of atoms) = 1.27

Cell: 5.3860 6.2227 7.5119 Å, 92.66 92.48 91.58°
Closest atoms and distances in Å follow each position.
Fractional positions:
1 Ag 0.0000 0.0000 0.0000  3 I 2.80-3.08, 2 Pt 2.82-2.88
2 Ag 0.2942 0.5268 0.1263  2 I 2.71-2.79, 2 Pt 2.71-2.75
3 Pt 0.7995 0.5993 0.1190  3 I 2.63-2.89, 1 Pt 2.67, 3 Ag 2.71-2.88
4 Pt 0.8615 0.2456 0.3031  1 Pt 2.67, 3 I 2.72-2.79, 1 Ag 2.82
5 I 0.3642 0.2502 0.3907  1 Ag 2.71, 2 Pt 2.76-2.79
6 I 0.4608 0.8425 0.9042  3 Ag 2.79-3.08, 1 Pt 2.89
7 I 0.8420 0.8378 0.4173  2 Pt 2.63-2.72
8 I 0.8695 0.3703 0.8190  1 Pt 2.66, 1 Ag 2.82

Entry 4:
Entry from the Alexandria database: a geometry-optimized AgPtI5 structure (PBE-GGA).

Computed properties:
- raw formation energy (eV/atom) = -0.104
- symmetry = C2/c, No. 15
- Fermi-level density of states (states/eV per cell) = 9.61
- M_tot (μB/f.u.) = 0.00
- ΔE to the lowest computed polymorph (kcal/mol of atoms) = 0.00

Cell: 7.5312 7.5312 10.5589 Å, 107.69 107.69 88.35°
Closest atoms and distances in Å follow each position.
Fractional positions:
1 Ag 0.0429 0.9571 0.7500  5 I 2.87-2.98
2 Ag 0.9571 0.0429 0.2500  5 I 2.87-2.98
3 Pt 0.0000 0.5000 0.0000  6 I 2.66-2.87
4 Pt 0.5000 0.0000 0.5000  6 I 2.66-2.87
5 I 0.1594 0.6254 0.8446  1 Pt 2.69, 1 Ag 2.98
6 I 0.2316 0.7684 0.2500  2 Pt 2.87, 1 Ag 2.88
7 I 0.2367 0.2435 0.5054  1 Pt 2.66, 1 Ag 2.87
8 I 0.2435 0.2367 0.0054  1 Pt 2.66, 1 Ag 2.87
9 I 0.3746 0.8406 0.6554  1 Pt 2.69, 1 Ag 2.98
10 I 0.6254 0.1594 0.3446  1 Pt 2.69, 1 Ag 2.98
11 I 0.7565 0.7633 0.9946  1 Pt 2.66, 1 Ag 2.87
12 I 0.7633 0.7565 0.4946  1 Pt 2.66, 1 Ag 2.87
13 I 0.7684 0.2316 0.7500  2 Pt 2.87, 1 Ag 2.88
14 I 0.8406 0.3746 0.1554  1 Pt 2.69, 1 Ag 2.98

Entry 5:
Entry from the Alexandria database: a geometry-optimized Ag2Pt2I structure (PBE-GGA).

Computed properties:
- raw formation energy (eV/atom) = 0.271
- symmetry = P4/mbm, No. 127
- Fermi-level density of states (states/eV per cell) = 6.32
- M_tot (μB/f.u.) = 0.00

Cell: 7.1406 7.1406 3.8974 Å, 90.00 90.00 90.00°
Closest atoms and distances in Å follow each position.
Fractional positions:
1 Ag 0.1546 0.3454 0.0000  6 Pt 2.85-2.87, 1 Ag 3.12
2 Ag 0.3454 0.8454 0.0000  6 Pt 2.85-2.87, 1 Ag 3.12
3 Ag 0.6546 0.1546 0.0000  6 Pt 2.85-2.87, 1 Ag 3.12
4 Ag 0.8454 0.6546 0.0000  6 Pt 2.85-2.87, 1 Ag 3.12
5 Pt 0.1393 0.6392 0.5000  2 I 2.76, 1 Pt 2.81, 6 Ag 2.85-2.87
6 Pt 0.3608 0.1393 0.5000  2 I 2.76, 1 Pt 2.81, 6 Ag 2.85-2.87
7 Pt 0.6392 0.8608 0.5000  2 I 2.76, 1 Pt 2.81, 6 Ag 2.85-2.87
8 Pt 0.8608 0.3608 0.5000  2 I 2.76, 1 Pt 2.81, 6 Ag 2.85-2.87
9 I 0.0000 0.0000 0.5000  4 Pt 2.76
10 I 0.5000 0.5000 0.5000  4 Pt 2.76

Entry 6:
Entry from the Alexandria database: a geometry-optimized AgPtI2 structure (PBE-GGA).

Computed properties:
- raw formation energy (eV/atom) = 0.039
- symmetry = Cm, No. 8
- Fermi-level density of states (states/eV per cell) = 3.47
- M_tot (μB/f.u.) = 0.00
- ΔE to the lowest computed polymorph (kcal/mol of atoms) = 2.37

Cell: 4.2929 4.2929 7.5916 Å, 90.41 90.41 60.08°
Closest atoms and distances in Å follow each position.
Fractional positions:
1 Ag 0.0000 0.0000 0.0000  3 Pt 2.88-2.89, 3 I 2.90
2 Pt 0.6651 0.6651 0.8056  4 I 2.69-2.98, 3 Ag 2.88-2.89
3 I 0.3300 0.3300 0.6688  3 Pt 2.69
4 I 0.6680 0.6680 0.1977  3 Ag 2.90, 1 Pt 2.98

Entry 7:
Entry from the Alexandria database: a geometry-optimized Ag2PtI5 structure (PBE-GGA).

Computed properties:
- raw formation energy (eV/atom) = -0.159
- symmetry = P1, No. 1
- Fermi-level density of states (states/eV per cell) = 3.62
- M_tot (μB/f.u.) = 0.00

Cell: 5.8602 7.5192 7.5738 Å, 80.53 67.60 67.10°
Closest atoms and distances in Å follow each position.
Fractional positions:
1 Ag 0.0000 0.0000 0.0000  5 I 2.83-3.15
2 Ag 0.1185 0.4951 0.2860  5 I 2.94-3.03
3 Pt 0.3484 0.9079 0.4167  6 I 2.68-2.93
4 I 0.0872 0.2295 0.6226  1 Pt 2.68, 1 Ag 2.96
5 I 0.2968 0.6936 0.7385  1 Pt 2.68, 1 Ag 2.83
6 I 0.4031 0.1194 0.0897  1 Pt 2.69, 1 Ag 2.97
7 I 0.6109 0.5820 0.2142  1 Pt 2.69
8 I 0.8579 0.9003 0.4054  2 Ag 2.91-2.94, 2 Pt 2.93

Entry 8:
Entry from the Alexandria database: a geometry-optimized AgPtI2 structure (PBE-GGA).

Computed properties:
- raw formation energy (eV/atom) = 0.036
- symmetry = Pm, No. 6
- Fermi-level density of states (states/eV per cell) = 1.40
- M_tot (μB/f.u.) = 0.00
- ΔE to the lowest computed polymorph (kcal/mol of atoms) = 2.29

Cell: 4.1851 3.8986 7.6413 Å, 90.00 99.85 90.00°
Closest atoms and distances in Å follow each position.
Fractional positions:
1 Ag 0.0000 0.0000 0.0000  4 Pt 2.95-2.96, 3 I 3.07-3.08
2 Pt 0.4710 0.5000 0.9016  3 I 2.62-2.63
3 I 0.3359 0.0000 0.6726  2 Pt 2.62
4 I 0.7098 0.5000 0.2425  1 Pt 2.63

Entry 9:
Entry from the Alexandria database: a geometry-optimized Rb2AgPtI6 structure (PBE-GGA).

Computed properties:
- raw formation energy (eV/atom) = -0.656
- symmetry = R-3m, No. 166
- Fermi-level density of states (states/eV per cell) = 6.98
- M_tot (μB/f.u.) = 0.00
- ΔE to the lowest computed polymorph (kcal/mol of atoms) = 0.22

Cell: 14.8830 14.8830 14.8830 Å, 31.31 31.31 31.31°
Closest atoms and distances in Å follow each position.
Fractional positions:
1 Rb 0.1170 0.1170 0.1170  12 I 4.02-4.40
2 Rb 0.3014 0.3014 0.3014  9 I 3.82-4.03
3 Rb 0.6986 0.6986 0.6986  9 I 3.82-4.03
4 Rb 0.8830 0.8830 0.8830  12 I 4.02-4.40
5 Ag 0.4150 0.4150 0.4150  6 I 3.00-3.03
6 Ag 0.5850 0.5850 0.5850  6 I 3.00-3.03
7 Pt 0.0000 0.0000 0.0000  6 I 2.79
8 Pt 0.5000 0.5000 0.5000  6 I 2.77
9 I 0.1365 0.6253 0.6253  1 Pt 2.77, 1 Ag 3.03
10 I 0.2009 0.2009 0.7140  1 Pt 2.79, 1 Ag 3.00
11 I 0.2009 0.7140 0.2009  1 Pt 2.79, 1 Ag 3.00
12 I 0.2860 0.7991 0.7991  1 Pt 2.79, 1 Ag 3.00
13 I 0.3747 0.3747 0.8635  1 Pt 2.77, 1 Ag 3.03
14 I 0.3747 0.8635 0.3747  1 Pt 2.77, 1 Ag 3.03
15 I 0.6253 0.1365 0.6253  1 Pt 2.77, 1 Ag 3.03
16 I 0.6253 0.6253 0.1365  1 Pt 2.77, 1 Ag 3.03
17 I 0.7140 0.2009 0.2009  1 Pt 2.79, 1 Ag 3.00
18 I 0.7991 0.2860 0.7991  1 Pt 2.79, 1 Ag 3.00
19 I 0.7991 0.7991 0.2860  1 Pt 2.79, 1 Ag 3.00
20 I 0.8635 0.3747 0.3747  1 Pt 2.77, 1 Ag 3.03

Entry 10:
Entry from the Alexandria database: a geometry-optimized RbAgPtI6 structure (PBE-GGA).

Computed properties:
- raw formation energy (eV/atom) = -0.412
- symmetry = P312, No. 149
- M_tot (μB/f.u.) = 0.00

Cell: 7.5796 7.5796 8.0857 Å, 90.00 90.00 120.00°
Closest atoms and distances in Å follow each position.
Fractional positions:
1 Rb 0.0000 0.0000 0.0000  6 I 3.74
2 Ag 0.3333 0.6667 0.5000  6 I 3.04
3 Pt 0.6667 0.3333 0.5000  6 I 2.71
4 I 0.3863 0.0329 0.6952  1 Pt 2.71
5 I 0.3863 0.3535 0.3048  1 Pt 2.71
6 I 0.6465 0.0329 0.3048  1 Pt 2.71
7 I 0.6465 0.6137 0.6952  1 Pt 2.71
8 I 0.9671 0.3535 0.6952  1 Pt 2.71
9 I 0.9671 0.6137 0.3048  1 Pt 2.71

Entry 11:
Entry from the Alexandria database: a geometry-optimized Rb2AgPtI6 structure (PBE-GGA).

Computed properties:
- raw formation energy (eV/atom) = -0.665
- symmetry = I4/mmm, No. 139
- Fermi-level density of states (states/eV per cell) = 2.42
- M_tot (μB/f.u.) = 0.00
- ΔE to the lowest computed polymorph (kcal/mol of atoms) = 0.00

Cell: 8.1470 8.1470 8.1470 Å, 119.81 119.81 90.33°
Closest atoms and distances in Å follow each position.
Fractional positions:
1 Rb 0.2500 0.7500 0.5000  12 I 4.08-4.09
2 Rb 0.7500 0.2500 0.5000  12 I 4.08-4.09
3 Ag 0.0000 0.0000 0.0000  6 I 2.96-3.01
4 Pt 0.5000 0.5000 0.0000  6 I 2.76-2.78
5 I 0.2578 0.2578 0.0000  1 Pt 2.78, 1 Ag 2.96
6 I 0.2609 0.2609 0.5217  1 Pt 2.76, 1 Ag 3.01
7 I 0.2609 0.7391 0.0000  1 Pt 2.76, 1 Ag 3.01
8 I 0.7391 0.2609 0.0000  1 Pt 2.76, 1 Ag 3.01
9 I 0.7391 0.7391 0.4783  1 Pt 2.76, 1 Ag 3.01
10 I 0.7422 0.7422 0.0000  1 Pt 2.78, 1 Ag 2.96

Entry 12:
Entry from the Alexandria database: a geometry-optimized Rb2AgPtI structure (PBE-GGA).

Computed properties:
- raw formation energy (eV/atom) = -0.118
- symmetry = P4/mmm, No. 123
- Fermi-level density of states (states/eV per cell) = 4.64
- M_tot (μB/f.u.) = 0.38

Cell: 6.6703 6.6703 5.0348 Å, 90.00 90.00 90.00°
Closest atoms and distances in Å follow each position.
Fractional positions:
1 Rb 0.0000 0.5000 0.0000  2 Ag 3.34
2 Rb 0.5000 0.0000 0.0000  2 Ag 3.34
3 Ag 0.0000 0.0000 0.0000  2 Pt 2.52
4 Pt 0.0000 0.0000 0.5000  2 Ag 2.52
5 I 0.5000 0.5000 0.5000  8 Rb 4.18

Entry 13:
Entry from the Alexandria database: a geometry-optimized AgPt2RhI structure (PBE-GGA).

Computed properties:
- raw formation energy (eV/atom) = 1.434
- symmetry = P4/mmm, No. 123
- Fermi-level density of states (states/eV per cell) = 4.31
- M_tot (μB/f.u.) = 1.00

Cell: 4.9404 4.9404 5.0796 Å, 90.00 90.00 90.00°
Closest atoms and distances in Å follow each position.
Fractional positions:
1 Ag 0.0000 0.0000 0.0000  2 I 2.54
2 Pt 0.0000 0.5000 0.5000  2 I 2.47
3 Pt 0.5000 0.0000 0.5000  2 I 2.47
4 Rh 0.5000 0.5000 0.0000  4 Ag 3.49, 8 Pt 3.54
5 I 0.0000 0.0000 0.5000  4 Pt 2.47, 2 Ag 2.54